No. 1
A relaxed CaSc2TaN4 crystal. Source: Alexandria via LeMat-Bulk, functional PBE.

- uncorrected formation energy (eV/f.u.) = -12.16
- total energy (eV/atom) = -9.00
- space-group type = No. 74

Cell lengths 6.436, 6.436, 6.445 Å; angles 120.05, 120.05, 89.75 degrees
Positions (direct):
1 N 0.252 0.779 0.016
2 N 0.256 0.244 0.490
3 N 0.721 0.248 0.484
4 N 0.256 0.244 0.010
5 N 0.744 0.756 0.510
6 N 0.748 0.221 0.984
7 N 0.279 0.752 0.516
8 N 0.744 0.756 0.990
9 Ta 0.000 0.000 0.000
10 Ta 0.500 0.500 0.500
11 Sc 0.500 0.000 0.000
12 Sc 0.500 0.500 0.000
13 Sc 0.000 0.000 0.500
14 Sc 0.500 0.000 0.500
15 Ca 0.000 0.500 0.000
16 Ca 0.000 0.500 0.500

No. 2
A relaxed Pa2CoGe4Ir3 crystal. Source: Alexandria via LeMat-Bulk, functional PBE.

- total energy (eV/atom) = -7.74
- calculated formation energy (eV per atom) = -0.6231
- space-group type = No. 115

Cell lengths 4.130, 4.130, 10.302 Å; angles 90.00, 90.00, 90.00 degrees
Positions (direct):
1 Ir 0.500 0.000 0.863
2 Ir 0.000 0.500 0.137
3 Ir 0.000 0.000 0.500
4 Ge 0.000 0.000 0.000
5 Ge 0.500 0.500 0.000
6 Ge 0.500 0.000 0.628
7 Ge 0.000 0.500 0.372
8 Pa 0.000 0.500 0.743
9 Pa 0.500 0.000 0.257
10 Co 0.500 0.500 0.500

No. 3
A relaxed Dy4Er5 crystal. Source: Alexandria via LeMat-Bulk, functional PBE.

- total energy (eV/atom) = -4.54
- calculated formation energy (eV per atom) = 0.0391
- space-group type = No. 71
- ΔE to the lowest computed polymorph (meV/atom) = 18

Cell lengths 3.580, 8.985, 8.985 Å; angles 91.99, 78.51, 78.51 degrees
Positions (direct):
1 Er 0.000 0.293 0.707
2 Er 0.707 0.960 0.627
3 Er 0.293 0.373 0.040
4 Er 0.000 0.667 0.333
5 Er 0.000 0.041 0.959
6 Dy 0.356 0.000 0.288
7 Dy 0.644 0.333 0.379
8 Dy 0.644 0.712 0.000
9 Dy 0.356 0.621 0.667

No. 4
A relaxed AlCr2 crystal. Source: Alexandria via LeMat-Bulk, functional PBE.

- total energy (eV/atom) = -6.75
- calculated formation energy (eV per atom) = 0.9133
- space-group type = No. 225

Cell lengths 4.300, 4.300, 4.300 Å; angles 60.00, 60.00, 60.00 degrees
Each line ends with the local moment (μB).
Positions (direct):
1 Cr 0.750 0.750 0.750  3.30
2 Cr 0.250 0.250 0.250  3.30
3 Al 0.000 0.000 0.000  -0.12